(1)
{"formula": "BaNa2Ga6", "functional": "PBE", "state": "optimized geometry", "e_form_ev_per_atom": -0.2051, "lattice": [[4.814, 0.000, 0.000], [0.000, 6.547, -3.780], [0.000, 0.000, 7.560]], "species": ["Ba", "Na", "Na", "Ga", "Ga", "Ga", "Ga", "Ga", "Ga"], "fractional_positions": [[0.000, 0.000, 0.000], [0.000, 0.333, 0.667], [0.000, 0.667, 0.333], [0.500, 0.338, 0.338], [0.500, 0.662, 0.662], [0.500, 0.000, 0.662], [0.500, 0.662, 0.000], [0.500, 0.338, 0.000], [0.500, 0.000, 0.338]]}



(2)
{"formula": "Ba2Na3Ga2", "functional": "PBE", "state": "optimized geometry", "e_form_ev_per_atom": -0.2078, "lattice": [[4.846, 0.000, 0.000], [0.000, 4.355, -0.857], [0.000, 0.224, 12.633]], "species": ["Ba", "Ba", "Na", "Na", "Na", "Ga", "Ga"], "fractional_positions": [[0.000, 0.827, 0.654], [0.000, 0.173, 0.346], [0.500, 0.575, 0.150], [0.500, 0.425, 0.850], [0.000, 0.000, 0.000], [0.500, 0.724, 0.448], [0.500, 0.276, 0.552]]}



(3)
{"formula": "BaNa2Ga2", "functional": "PBE", "state": "optimized geometry", "e_form_ev_per_atom": -0.0317, "lattice": [[-4.617, 7.286, 0.856], [-5.868, -3.061, -5.598], [-2.090, -1.690, 3.115]], "species": ["Na", "Na", "Na", "Na", "Ba", "Ba", "Ga", "Ga", "Ga", "Ga"], "fractional_positions": [[0.174, 0.674, 0.500], [0.674, 0.826, 0.500], [0.826, 0.326, 0.500], [0.326, 0.174, 0.500], [0.000, 0.000, 0.000], [0.500, 0.500, 0.000], [0.394, 0.894, 0.000], [0.894, 0.606, 0.000], [0.606, 0.106, 0.000], [0.106, 0.394, 0.000]]}



(4)
{"formula": "Ba8NaGa2", "functional": "PBE", "state": "optimized geometry", "e_form_ev_per_atom": -0.1207, "lattice": [[5.738, -0.001, 1.037], [-0.428, 8.450, 2.374], [0.921, 0.651, 11.315]], "species": ["Ba", "Ba", "Ba", "Ba", "Ba", "Ba", "Ba", "Ba", "Na", "Ga", "Ga"], "fractional_positions": [[0.896, 0.518, 0.175], [0.180, 0.975, 0.608], [0.301, 0.679, 0.366], [0.458, 0.229, 0.053], [0.698, 0.322, 0.573], [0.819, 0.025, 0.331], [0.103, 0.483, 0.764], [0.541, 0.771, 0.886], [0.000, 0.000, 0.970], [0.313, 0.300, 0.341], [0.685, 0.700, 0.598]]}



(5)
{"formula": "Ba5NaGa2", "functional": "PBE", "state": "optimized geometry", "e_form_ev_per_atom": -0.1877, "lattice": [[-5.007, 4.369, -5.931], [-6.939, -5.206, 2.022], [3.390, 6.427, 8.562]], "species": ["Ba", "Ba", "Ba", "Ba", "Ba", "Ba", "Ba", "Ba", "Ba", "Ba", "Na", "Na", "Ga", "Ga", "Ga", "Ga"], "fractional_positions": [[0.537, 0.700, 0.737], [0.800, 0.963, 0.263], [0.000, 0.000, 0.000], [0.500, 0.500, 0.000], [0.200, 0.037, 0.737], [0.700, 0.200, 0.737], [0.037, 0.537, 0.737], [0.300, 0.800, 0.263], [0.963, 0.463, 0.263], [0.463, 0.300, 0.263], [0.750, 0.750, 0.500], [0.250, 0.250, 0.500], [0.107, 0.393, 0.000], [0.607, 0.107, 0.000], [0.393, 0.893, 0.000], [0.893, 0.607, 0.000]]}



(6)
{"formula": "Ba3Na2Ga", "functional": "PBE", "state": "optimized geometry", "e_form_ev_per_atom": -0.1296, "lattice": [[-5.305, -2.073, -1.777], [0.681, -2.457, -9.185], [2.635, -8.968, 2.595]], "species": ["Ba", "Ba", "Ba", "Ba", "Ba", "Ba", "Na", "Na", "Na", "Na", "Ga", "Ga"], "fractional_positions": [[0.823, 0.355, 0.801], [0.500, 0.000, 0.218], [0.177, 0.645, 0.199], [0.823, 0.355, 0.199], [0.177, 0.645, 0.801], [0.500, 0.000, 0.782], [0.000, 0.000, 0.000], [0.000, 0.000, 0.500], [0.330, 0.340, 0.500], [0.670, 0.660, 0.500], [0.347, 0.305, 0.000], [0.653, 0.695, 0.000]]}



(7)
{"formula": "Ba8Na2Ga", "functional": "PBE", "state": "optimized geometry", "e_form_ev_per_atom": -0.0309, "lattice": [[6.323, 0.000, 0.000], [0.000, 8.608, 0.048], [-3.161, -3.625, 10.681]], "species": ["Ba", "Ba", "Ba", "Ba", "Ba", "Ba", "Ba", "Ba", "Na", "Na", "Ga"], "fractional_positions": [[0.413, 0.585, 0.827], [0.648, 0.968, 0.295], [0.796, 0.696, 0.591], [0.979, 0.199, 0.958], [0.204, 0.304, 0.409], [0.352, 0.032, 0.705], [0.587, 0.415, 0.173], [0.021, 0.801, 0.042], [0.819, 0.276, 0.639], [0.181, 0.724, 0.361], [0.500, 0.000, 0.000]]}



(8)
{"formula": "BaNaGa4", "functional": "PBE", "state": "optimized geometry", "e_form_ev_per_atom": -0.2593, "lattice": [[5.874, 0.000, 0.000], [2.937, 5.087, 0.000], [2.937, 1.696, 4.796]], "species": ["Na", "Ba", "Ga", "Ga", "Ga", "Ga"], "fractional_positions": [[0.000, 0.000, 0.000], [0.250, 0.250, 0.250], [0.626, 0.626, 0.122], [0.626, 0.122, 0.626], [0.626, 0.626, 0.626], [0.122, 0.626, 0.626]]}



(9)
{"formula": "BaNaGa", "functional": "PBE", "state": "optimized geometry", "e_form_ev_per_atom": -0.2495, "lattice": [[-0.783, 1.482, 4.136], [0.674, -4.494, 1.738], [9.740, 4.222, 0.331]], "species": ["Ba", "Ba", "Na", "Na", "Ga", "Ga"], "fractional_positions": [[0.250, 0.908, 0.816], [0.750, 0.092, 0.184], [0.750, 0.296, 0.591], [0.250, 0.704, 0.409], [0.250, 0.531, 0.063], [0.750, 0.469, 0.937]]}



(10)
{"formula": "BaNaGa", "functional": "PBE", "state": "optimized geometry", "e_form_ev_per_atom": -0.0308, "lattice": [[-4.359, 2.258, -2.539], [-2.188, -2.455, -4.442], [-4.956, -2.421, 0.341]], "species": ["Na", "Ba", "Ga"], "fractional_positions": [[0.500, 0.500, 0.500], [0.000, 0.000, 0.000], [0.250, 0.250, 0.250]]}



(11)
{"formula": "BaNaGa", "functional": "PBE", "state": "optimized geometry", "e_form_ev_per_atom": -0.2353, "lattice": [[-4.444, 0.101, 0.158], [-2.383, -2.190, -3.051], [0.041, -11.485, 8.224]], "species": ["Ba", "Ba", "Na", "Na", "Ga", "Ga"], "fractional_positions": [[0.000, 0.500, 0.829], [0.000, 0.500, 0.171], [0.667, 0.167, 0.410], [0.333, 0.833, 0.590], [0.667, 0.167, 0.007], [0.333, 0.833, 0.993]]}



(12)
{"formula": "BaNa2Ga2", "functional": "PBE", "state": "optimized geometry", "e_form_ev_per_atom": -0.0271, "lattice": [[9.040, 0.000, 0.000], [0.000, 9.040, 0.000], [0.000, 0.000, 3.480]], "species": ["Na", "Na", "Na", "Na", "Ba", "Ba", "Ga", "Ga", "Ga", "Ga"], "fractional_positions": [[0.382, 0.882, 0.000], [0.882, 0.618, 0.000], [0.618, 0.118, 0.000], [0.118, 0.382, 0.000], [0.000, 0.000, 0.000], [0.500, 0.500, 0.000], [0.181, 0.681, 0.500], [0.681, 0.819, 0.500], [0.819, 0.319, 0.500], [0.319, 0.181, 0.500]]}



(13)
{"formula": "Ba3NaGa", "functional": "PBE", "state": "optimized geometry", "e_form_ev_per_atom": -0.0798, "lattice": [[8.139, 0.000, 0.000], [0.000, 11.632, -2.282], [0.000, -0.912, 9.734]], "species": ["Ba", "Ba", "Ba", "Ba", "Ba", "Ba", "Ba", "Ba", "Ba", "Ba", "Ba", "Ba", "Na", "Na", "Na", "Na", "Ga", "Ga", "Ga", "Ga"], "fractional_positions": [[0.837, 0.599, 0.924], [0.163, 0.401, 0.076], [0.337, 0.901, 0.076], [0.663, 0.099, 0.924], [0.515, 0.659, 0.226], [0.485, 0.341, 0.774], [0.015, 0.841, 0.774], [0.985, 0.159, 0.226], [0.763, 0.482, 0.447], [0.237, 0.518, 0.553], [0.263, 0.018, 0.553], [0.737, 0.982, 0.447], [0.029, 0.730, 0.287], [0.971, 0.270, 0.713], [0.529, 0.770, 0.713], [0.471, 0.230, 0.287], [0.725, 0.391, 0.098], [0.275, 0.609, 0.902], [0.225, 0.109, 0.902], [0.775, 0.891, 0.098]]}



(14)
{"formula": "Ba3NaGa", "functional": "PBE", "state": "optimized geometry", "e_form_ev_per_atom": -0.0533, "lattice": [[-2.945, 5.860, 0.717], [0.216, -0.694, 6.557], [5.899, 2.950, 0.118]], "species": ["Na", "Ba", "Ba", "Ba", "Ga"], "fractional_positions": [[0.500, 0.500, 0.500], [0.000, 0.500, 0.000], [0.000, 0.000, 0.500], [0.500, 0.000, 0.000], [0.000, 0.000, 0.000]]}



(15)
{"formula": "BaNa2NbGa", "functional": "PBE", "state": "optimized geometry", "e_form_ev_per_atom": 0.9651, "lattice": [[-4.297, -1.250, -3.276], [3.795, -3.366, -3.692], [-1.022, -4.510, 3.061]], "species": ["Na", "Na", "Nb", "Ba", "Ga"], "fractional_positions": [[0.000, 0.000, 0.500], [0.500, 0.000, 0.000], [0.500, 0.500, 0.500], [0.000, 0.500, 0.000], [0.000, 0.000, 0.000]]}



(16)
{"formula": "BaNaNbGa2", "functional": "PBE", "state": "optimized geometry", "e_form_ev_per_atom": 1.0970, "lattice": [[5.134, 0.000, 0.000], [0.000, 5.599, 0.000], [0.000, 0.000, 5.134]], "species": ["Na", "Nb", "Ba", "Ga", "Ga"], "fractional_positions": [[0.000, 0.000, 0.000], [0.500, 0.500, 0.500], [0.000, 0.500, 0.000], [0.000, 0.000, 0.500], [0.500, 0.000, 0.000]]}



(17)
{"formula": "Ba2NaGaNi", "functional": "PBE", "state": "optimized geometry", "e_form_ev_per_atom": -0.1118, "lattice": [[-1.985, 4.230, -3.970], [-5.544, -0.148, 2.614], [1.315, 3.417, 2.983]], "species": ["Ni", "Ba", "Ba", "Ga", "Na"], "fractional_positions": [[0.000, 0.000, 0.000], [0.000, 0.500, 0.000], [0.500, 0.000, 0.000], [0.000, 0.000, 0.500], [0.500, 0.500, 0.500]]}



(18)
{"formula": "BaNaGaO3", "functional": "PBE", "state": "optimized geometry", "e_form_raw_ev_per_atom": -1.84, "lattice": [[4.061, 0.000, 0.000], [-2.031, 7.426, -0.468], [0.000, -2.772, 6.302]], "species": ["Ba", "Ba", "Na", "Na", "Ga", "Ga", "O", "O", "O", "O", "O", "O"], "fractional_positions": [[0.324, 0.647, 0.824], [0.676, 0.353, 0.176], [0.617, 0.233, 0.615], [0.383, 0.767, 0.385], [0.000, 0.999, 0.250], [0.000, 0.001, 0.750], [0.859, 0.718, 0.129], [0.860, 0.720, 0.591], [0.500, 0.999, 0.231], [0.140, 0.280, 0.409], [0.500, 0.001, 0.769], [0.141, 0.282, 0.871]]}



(19)
{"formula": "Ba2NaGaO", "functional": "PBE", "state": "optimized geometry", "e_form_raw_ev_per_atom": -1.00, "lattice": [[-0.762, 0.633, -5.477], [-5.512, -0.200, 0.744], [-0.093, 4.596, 0.544]], "species": ["O", "Na", "Ba", "Ba", "Ga"], "fractional_positions": [[0.000, 0.000, 0.000], [0.000, 0.000, 0.500], [0.000, 0.500, 0.000], [0.500, 0.000, 0.000], [0.500, 0.500, 0.500]]}



(20)
{"formula": "BaNa2GaO4", "functional": "PBE", "state": "optimized geometry", "e_form_raw_ev_per_atom": -1.73, "lattice": [[5.922, 0.000, 0.000], [2.961, 4.596, -0.694], [2.961, -0.181, 4.645]], "species": ["Ba", "Na", "Na", "Ga", "O", "O", "O", "O"], "fractional_positions": [[0.000, 0.000, 0.000], [0.500, 0.750, 0.250], [0.500, 0.250, 0.750], [0.000, 0.500, 0.500], [0.621, 0.549, 0.830], [0.379, 0.170, 0.451], [0.000, 0.451, 0.170], [0.000, 0.830, 0.549]]}



no.,total moment (μB/cell)
1,0.00
2,0.00
3,0.00
4,0.00
5,0.00
6,0.00
7,0.00
8,0.00
9,0.00
10,1.24
11,0.00
12,0.00
13,0.00
14,0.00
15,4.43
16,2.99
17,0.00
18,0.00
19,0.00
20,1.04